Record 1
A plane-wave DFT calculation with PBE was carried out for an optimized crystal structure of KPrSn4O12.

a = 5.783 Å, b = 5.783 Å, c = 8.172 Å
α = 90.00°, β = 90.00°, γ = 89.83°
Atoms (fractional coordinates):
K: 0.011 0.011 0.000
Pr: 0.485 0.485 0.500
Sn: 0.994 0.505 0.755
Sn: 0.994 0.505 0.245
Sn: 0.505 0.994 0.245
Sn: 0.505 0.994 0.755
O: 0.734 0.265 0.721
O: 0.265 0.734 0.721
O: 0.265 0.734 0.279
O: 0.734 0.265 0.279
O: 0.257 0.257 0.750
O: 0.731 0.731 0.697
O: 0.731 0.731 0.303
O: 0.257 0.257 0.250
O: 0.981 0.530 0.000
O: 0.052 0.478 0.500
O: 0.530 0.981 0.000
O: 0.478 0.052 0.500

Crystal system   orthorhombic
Total magnetization   4.04 μB per formula unit
E_tot   -5.912 eV per atom
Calculated volume   273.3 Å³/cell
Space-group type   Amm2
Raw formation energy   -1.390 eV per atom

---

Record 2
A plane-wave DFT calculation with PBE was carried out for an optimized crystal structure of K3Pr2SnO6.

a = 6.258 Å, b = 6.258 Å, c = 6.650 Å
α = 98.95°, β = 98.95°, γ = 120.00°
Atoms (fractional coordinates):
K: 0.161 0.839 0.500
K: 0.839 0.161 0.500
K: 0.500 0.500 0.500
Pr: 0.333 0.667 0.000
Pr: 0.667 0.333 0.000
Sn: 0.000 0.000 0.000
O: 0.936 0.612 0.807
O: 0.740 0.740 0.192
O: 0.064 0.388 0.193
O: 0.612 0.936 0.807
O: 0.260 0.260 0.808
O: 0.388 0.064 0.193

Crystal system   monoclinic
Total magnetization   0.01 μB per formula unit
E_tot   -6.014 eV per atom
Calculated volume   214.4 Å³/cell
Space-group type   C2/m
Raw formation energy   -2.131 eV per atom